Model P:
TeAuBr3 | PBE | optimized geometry

Cell: 6.054 11.373 12.185 Å, 78.00 90.00 90.00°
Sites, in units of the cell vectors:
Te  0.333  0.137  0.037
Te  0.667  0.863  0.963
Te  0.833  0.363  0.463
Te  0.167  0.637  0.537
Au  0.813  0.635  0.421
Au  0.187  0.365  0.579
Au  0.313  0.865  0.079
Au  0.687  0.135  0.921
Br  0.032  0.386  0.273
Br  0.968  0.614  0.727
Br  0.532  0.114  0.227
Br  0.468  0.886  0.773
Br  0.452  0.642  0.325
Br  0.548  0.358  0.675
Br  0.952  0.858  0.175
Br  0.048  0.142  0.825
Br  0.186  0.869  0.501
Br  0.814  0.131  0.499
Br  0.686  0.631  0.999
Br  0.314  0.369  0.001



Model Q:
TeAuBr3 | PBE | optimized geometry

Cell: 7.403 7.235 15.620 Å, 90.00 88.66 90.00°
Sites, in units of the cell vectors:
Te  0.092  0.860  0.333
Te  0.908  0.860  0.167
Te  0.092  0.140  0.833
Te  0.908  0.140  0.667
Au  0.022  0.206  0.114
Au  0.022  0.794  0.614
Au  0.978  0.206  0.386
Au  0.978  0.794  0.886
Br  0.713  0.160  0.482
Br  0.713  0.840  0.982
Br  0.271  0.780  0.801
Br  0.107  0.579  0.112
Br  0.271  0.220  0.301
Br  0.287  0.840  0.518
Br  0.893  0.579  0.388
Br  0.729  0.780  0.699
Br  0.893  0.421  0.888
Br  0.729  0.220  0.199
Br  0.287  0.160  0.018
Br  0.107  0.421  0.612



Of them, model P has the highest stability.



Model P:
Ti3AuBr | PBE | optimized geometry

Cell: 4.638 4.638 4.638 Å, 90.00 90.00 90.00°
Last column: magnetic moment on the atom in μB.
Sites, in units of the cell vectors:
Au  0.500  0.500  0.500  0.03
Br  0.000  0.000  0.000  0.00
Ti  0.000  0.500  0.000  0.62
Ti  0.000  0.000  0.500  0.38
Ti  0.500  0.000  0.000  0.71



Model Q:
Ti3AuBr | PBE | optimized geometry

Cell: 5.039 5.039 5.039 Å, 90.00 90.00 90.00°
Last column: magnetic moment on the atom in μB.
Sites, in units of the cell vectors:
Au  0.000  0.000  0.000  -0.02
Br  0.500  0.500  0.500  0.01
Ti  0.000  0.500  0.000  0.97
Ti  0.000  0.000  0.500  0.94
Ti  0.500  0.000  0.000  1.24



Of them, model P has the highest stability.



Model P:
TiAu2Br2 | PBE | optimized geometry

Cell: 6.612 6.612 6.214 Å, 90.00 90.00 90.00°
Last column: magnetic moment on the atom in μB.
Sites, in units of the cell vectors:
Au  0.144  0.644  0.500  0.03
Au  0.644  0.856  0.500  0.03
Au  0.856  0.356  0.500  0.03
Au  0.356  0.144  0.500  0.04
Br  0.328  0.828  0.000  -0.04
Br  0.828  0.672  0.000  -0.04
Br  0.672  0.172  0.000  -0.04
Br  0.172  0.328  0.000  -0.04
Ti  0.000  0.000  0.000  1.36
Ti  0.500  0.500  0.000  1.38



Model Q:
TiAu2Br2 | PBE | optimized geometry

Cell: 3.650 3.650 11.031 Å, 80.48 80.48 90.00°
Last column: magnetic moment on the atom in μB.
Sites, in units of the cell vectors:
Au  0.750  0.250  0.500  0.00
Au  0.250  0.750  0.500  0.00
Br  0.425  0.425  0.149  -0.03
Br  0.575  0.575  0.851  -0.03
Ti  0.000  0.000  0.000  1.67



Model R:
TiAu2Br2 | PBE | optimized geometry

Cell: 4.574 4.574 6.796 Å, 70.33 70.33 90.00°
Last column: magnetic moment on the atom in μB.
Sites, in units of the cell vectors:
Au  0.393  0.393  0.215  0.02
Au  0.607  0.607  0.785  0.02
Br  0.750  0.250  0.500  0.01
Br  0.250  0.750  0.500  0.01
Ti  0.000  0.000  0.000  -0.58



Model S:
TiAu2Br2 | PBE | optimized geometry

Cell: 7.071 7.071 4.742 Å, 90.00 90.00 90.00°
Last column: magnetic moment on the atom in μB.
Sites, in units of the cell vectors:
Au  0.367  0.867  0.000  0.02
Au  0.867  0.633  0.000  0.02
Au  0.633  0.133  0.000  0.02
Au  0.133  0.367  0.000  0.02
Br  0.208  0.708  0.500  -0.01
Br  0.708  0.792  0.500  -0.01
Br  0.792  0.292  0.500  -0.01
Br  0.292  0.208  0.500  -0.01
Ti  0.000  0.000  0.000  1.43
Ti  0.500  0.500  0.000  1.44



Of them, model Q has the highest stability.



Model P:
Tl2AuBr8 | PBE | optimized geometry

Cell: 9.957 7.957 7.957 Å, 53.67 76.26 76.26°
Sites, in units of the cell vectors:
Tl  0.684  0.232  0.232
Tl  0.316  0.768  0.768
Au  0.000  0.000  0.000
Br  0.140  0.141  0.631
Br  0.140  0.631  0.141
Br  0.860  0.859  0.369
Br  0.279  0.598  0.598
Br  0.860  0.369  0.859
Br  0.455  0.181  0.181
Br  0.545  0.819  0.819
Br  0.721  0.402  0.402



Model Q:
Tl2AuBr8 | PBE | optimized geometry

Cell: 9.817 11.166 10.633 Å, 75.99 62.51 63.92°
Last column: magnetic moment on the atom in μB.
Sites, in units of the cell vectors:
Tl  0.756  0.940  0.940  0.00
Tl  0.364  0.440  0.440  0.00
Tl  0.636  0.560  0.560  0.00
Tl  0.244  0.060  0.060  0.00
Au  0.857  0.750  0.250  0.36
Au  0.143  0.250  0.750  0.36
Br  0.385  0.691  0.483  0.00
Br  0.088  0.984  0.313  0.00
Br  0.740  0.008  0.177  0.14
Br  0.295  0.205  0.487  0.10
Br  0.260  0.992  0.823  0.14
Br  0.986  0.295  0.013  0.10
Br  0.705  0.795  0.513  0.10
Br  0.075  0.508  0.677  0.14
Br  0.014  0.705  0.987  0.10
Br  0.559  0.809  0.017  0.00
Br  0.615  0.484  0.813  0.00
Br  0.385  0.516  0.187  0.00
Br  0.441  0.191  0.983  0.00
Br  0.925  0.492  0.323  0.14
Br  0.615  0.309  0.517  0.00
Br  0.912  0.016  0.687  0.00



Of them, model P has the highest stability.



Model P:
TlAu2Br | PBE | optimized geometry

Cell: 5.678 5.678 5.678 Å, 139.05 112.28 82.28°
Sites, in units of the cell vectors:
Tl  0.773  0.273  0.500
Au  0.025  0.025  0.000
Au  0.241  0.741  0.500
Br  0.461  0.461  0.000



Model Q:
TlAu2Br | PBE | optimized geometry

Cell: 7.916 7.916 7.916 Å, 28.19 28.19 28.19°
Sites, in units of the cell vectors:
Tl  0.750  0.750  0.750
Au  0.002  0.002  0.002
Au  0.498  0.498  0.498
Br  0.250  0.250  0.250



Of them, model P has the highest stability.



Model P:
TlAuBr | PBE | optimized geometry

Cell: 6.889 6.473 3.883 Å, 79.07 67.32 33.61°
Sites, in units of the cell vectors:
Tl  0.646  0.646  0.354
Au  0.998  0.998  0.002
Br  0.356  0.356  0.644



Model Q:
TlAuBr | PBE | optimized geometry

Cell: 4.262 4.262 5.446 Å, 90.00 90.00 120.00°
Sites, in units of the cell vectors:
Tl  0.333  0.667  0.720
Au  0.000  0.000  0.988
Br  0.667  0.333  0.292



Model R:
TlAuBr | PBE | optimized geometry

Cell: 5.999 5.999 5.354 Å, 90.00 90.00 90.00°
Sites, in units of the cell vectors:
Au  0.500  0.000  0.992
Au  0.000  0.500  0.008
Br  0.000  0.500  0.507
Br  0.500  0.000  0.493
Tl  0.000  0.000  0.000
Tl  0.500  0.500  0.000



Of them, model R has the highest stability.



Model P:
TlAuBr | PBE | optimized geometry

Cell: 5.011 5.011 5.011 Å, 60.00 60.00 60.00°
Sites, in units of the cell vectors:
Tl  0.500  0.500  0.500
Au  0.750  0.750  0.750
Br  0.000  0.000  0.000



Model Q:
TlAuBr | PBE | optimized geometry

Cell: 6.349 6.349 6.349 Å, 146.21 146.24 48.52°
Sites, in units of the cell vectors:
Tl  0.642  0.642  0.000
Au  0.007  0.007  0.000
Br  0.351  0.351  0.000



Of them, model P has the highest stability.



Model P:
TlAu3Br | PBE | optimized geometry

Cell: 5.348 5.348 5.348 Å, 90.00 90.00 90.00°
Sites, in units of the cell vectors:
Tl  0.000  0.000  0.000
Au  0.000  0.500  0.000
Au  0.000  0.000  0.500
Au  0.500  0.000  0.000
Br  0.500  0.500  0.500



Model Q:
TlAu3Br | PBE | optimized geometry

Cell: 5.275 5.275 5.275 Å, 90.00 90.00 90.00°
Sites, in units of the cell vectors:
Tl  0.500  0.500  0.500
Au  0.000  0.500  0.000
Au  0.000  0.000  0.500
Au  0.500  0.000  0.000
Br  0.000  0.000  0.000



Of them, model Q has the highest stability.



Model P:
TlAu2Br6 | PBE | optimized geometry

Cell: 8.164 9.063 9.063 Å, 85.42 81.02 81.02°
Sites, in units of the cell vectors:
Tl  0.250  0.091  0.909
Tl  0.750  0.909  0.091
Au  0.301  0.671  0.770
Au  0.199  0.230  0.329
Au  0.699  0.329  0.230
Au  0.801  0.770  0.671
Br  0.563  0.612  0.599
Br  0.937  0.401  0.388
Br  0.437  0.388  0.401
Br  0.063  0.599  0.612
Br  0.817  0.930  0.364
Br  0.683  0.636  0.070
Br  0.183  0.070  0.636
Br  0.317  0.364  0.930
Br  0.135  0.794  0.994
Br  0.365  0.006  0.206
Br  0.865  0.206  0.006
Br  0.635  0.994  0.794



Model Q:
TlAu2Br6 | PBE | optimized geometry

Cell: 7.045 10.190 10.190 Å, 74.60 68.82 68.82°
Sites, in units of the cell vectors:
Tl  0.250  0.090  0.910
Tl  0.750  0.910  0.090
Au  0.143  0.546  0.673
Au  0.357  0.327  0.454
Au  0.857  0.454  0.327
Au  0.643  0.673  0.546
Br  0.275  0.740  0.505
Br  0.225  0.495  0.260
Br  0.725  0.260  0.495
Br  0.775  0.505  0.740
Br  0.776  0.873  0.367
Br  0.724  0.633  0.127
Br  0.224  0.127  0.633
Br  0.276  0.367  0.873
Br  0.190  0.817  0.958
Br  0.310  0.042  0.183
Br  0.810  0.183  0.042
Br  0.690  0.958  0.817



Of them, model Q has the highest stability.



Model P:
TlAuBr6 | PBE | optimized geometry

Cell: 6.240 7.977 7.474 Å, 57.51 82.34 87.79°
Sites, in units of the cell vectors:
Tl  0.500  0.500  0.500
Au  0.000  0.000  0.000
Br  0.120  0.346  0.862
Br  0.756  0.115  0.721
Br  0.387  0.306  0.346
Br  0.244  0.885  0.279
Br  0.880  0.654  0.138
Br  0.613  0.694  0.654



Model Q:
TlAuBr6 | PBE | optimized geometry

Cell: 8.506 6.656 8.536 Å, 91.94 93.04 50.29°
Sites, in units of the cell vectors:
Tl  0.000  0.000  0.500
Au  0.000  0.000  0.000
Br  0.394  0.000  0.404
Br  0.070  0.659  0.816
Br  0.606  0.000  0.596
Br  0.271  0.659  0.184
Br  0.930  0.341  0.184
Br  0.729  0.341  0.816



Of them, model P has the highest stability.